# GGA-PBEsol CuP4I, optimized geometry
data_CuP4I
_cell_length_a 9.588
_cell_length_b 13.735
_cell_length_c 12.585
_cell_angle_alpha 90.00
_cell_angle_beta 109.12
_cell_angle_gamma 90.00
_space_group_name_H-M_alt 'P 1 21 1'
_space_group_IT_number 4
_space_group_name_Hall 'P 2yb'
loop_
_atom_site_label
_atom_site_type_symbol
_atom_site_fract_x
_atom_site_fract_y
_atom_site_fract_z
Cu1 Cu 0.002 0.000 0.423
Cu2 Cu 0.094 0.709 0.437
Cu3 Cu 0.196 0.156 0.209
Cu4 Cu 0.198 0.883 0.136
Cu5 Cu 0.204 0.433 0.343
Cu6 Cu 0.209 0.608 0.014
P1 P 0.224 0.061 0.931
P2 P 0.233 0.983 0.433
P3 P 0.304 0.291 0.985
P4 P 0.306 0.754 0.421
P5 P 0.307 0.887 0.322
P6 P 0.308 0.154 0.080
P7 P 0.314 0.850 0.867
P8 P 0.319 0.190 0.539
P9 P 0.326 0.931 0.027
P10 P 0.331 0.113 0.383
P11 P 0.344 0.339 0.482
P12 P 0.345 0.702 0.942
P13 P 0.384 0.095 0.837
P14 P 0.388 0.949 0.607
P15 P 0.406 0.527 0.391
P16 P 0.410 0.514 0.066
P17 P 0.432 0.566 0.567
P18 P 0.435 0.474 0.902
P19 P 0.452 0.674 0.339
P20 P 0.453 0.417 0.645
P21 P 0.453 0.622 0.833
P22 P 0.456 0.366 0.139
P23 P 0.470 0.242 0.907
P24 P 0.473 0.801 0.581
I1 I 0.003 0.516 0.866
I2 I 0.008 0.033 0.632
I3 I 0.090 0.333 0.167
I4 I 0.095 0.708 0.132
I5 I 0.101 0.674 0.643
I6 I 0.115 0.334 0.656
# - formation energy (no corrections) (eV per atom) = -0.075
# - energy (eV per atom) = -4.953